Tm2MgSe4 | PBE-GGA | optimized geometry

abc: 3.982 13.063 13.957
angles: 90.00 90.00 90.00
Element x y z (fractional)
Tm 0.250 0.115 0.075
Tm 0.750 0.885 0.925
Tm 0.750 0.385 0.575
Tm 0.250 0.615 0.425
Tm 0.250 0.142 0.702
Tm 0.750 0.858 0.298
Tm 0.750 0.358 0.202
Tm 0.250 0.642 0.798
Mg 0.750 0.112 0.456
Mg 0.250 0.888 0.544
Mg 0.250 0.388 0.956
Mg 0.750 0.612 0.044
Se 0.750 0.008 0.619
Se 0.250 0.992 0.381
Se 0.250 0.492 0.119
Se 0.750 0.508 0.881
Se 0.250 0.030 0.882
Se 0.750 0.970 0.118
Se 0.750 0.470 0.382
Se 0.250 0.530 0.618
Se 0.250 0.223 0.249
Se 0.750 0.777 0.751
Se 0.750 0.277 0.749
Se 0.250 0.723 0.251
Se 0.750 0.259 0.015
Se 0.250 0.741 0.985
Se 0.250 0.241 0.515
Se 0.750 0.759 0.485

Summary:
ΔE to the lowest computed polymorph in eV per atom: 0.066
Calculated total energy in eV per atom: -5.128



Tm2MgSe4 | PBE-GGA | optimized geometry

abc: 7.913 7.913 7.913
angles: 105.98 105.98 116.71
Element x y z (fractional)
Tm 0.375 0.394 0.519
Tm 0.606 0.125 0.981
Tm 0.875 0.856 0.481
Tm 0.144 0.625 0.019
Mg 0.750 0.250 0.500
Mg 0.000 0.000 0.000
Se 0.635 0.842 0.697
Se 0.158 0.856 0.793
Se 0.144 0.938 0.303
Se 0.062 0.365 0.207
Se 0.115 0.312 0.707
Se 0.592 0.885 0.197
Se 0.606 0.408 0.293
Se 0.688 0.394 0.803

Summary:
ΔE to the lowest computed polymorph in eV per atom: 0.047
Calculated total energy in eV per atom: -5.147



TmMgSe3 | PBE-GGA | optimized geometry

abc: 7.222 7.222 7.042
angles: 73.12 73.12 112.59
Element x y z (fractional)
Tm 0.778 0.778 0.237
Tm 0.222 0.222 0.763
Mg 0.662 0.338 0.000
Mg 0.338 0.662 0.000
Se 0.921 0.221 0.162
Se 0.079 0.779 0.838
Se 0.779 0.079 0.838
Se 0.221 0.921 0.162
Se 0.594 0.594 0.700
Se 0.406 0.406 0.300

Summary:
ΔE to the lowest computed polymorph in eV per atom: 0.093
Calculated total energy in eV per atom: -4.449



Copy entry 1 word for word.
Tm2MgSe4 | PBE-GGA | optimized geometry

abc: 3.982 13.063 13.957
angles: 90.00 90.00 90.00
Element x y z (fractional)
Tm 0.250 0.115 0.075
Tm 0.750 0.885 0.925
Tm 0.750 0.385 0.575
Tm 0.250 0.615 0.425
Tm 0.250 0.142 0.702
Tm 0.750 0.858 0.298
Tm 0.750 0.358 0.202
Tm 0.250 0.642 0.798
Mg 0.750 0.112 0.456
Mg 0.250 0.888 0.544
Mg 0.250 0.388 0.956
Mg 0.750 0.612 0.044
Se 0.750 0.008 0.619
Se 0.250 0.992 0.381
Se 0.250 0.492 0.119
Se 0.750 0.508 0.881
Se 0.250 0.030 0.882
Se 0.750 0.970 0.118
Se 0.750 0.470 0.382
Se 0.250 0.530 0.618
Se 0.250 0.223 0.249
Se 0.750 0.777 0.751
Se 0.750 0.277 0.749
Se 0.250 0.723 0.251
Se 0.750 0.259 0.015
Se 0.250 0.741 0.985
Se 0.250 0.241 0.515
Se 0.750 0.759 0.485

Summary:
ΔE to the lowest computed polymorph in eV per atom: 0.066
Calculated total energy in eV per atom: -5.128